No. 1
Density functional theory data (PBE) for a relaxed PmNi2Au crystal.

Cell lengths 4.3619, 4.3619, 5.1635 Å; angles 65.01, 65.01, 60.00 degrees
Fractional positions:
Ni: 0.8010 0.8010 0.5969
Ni: 0.1990 0.1990 0.4031
Au: 0.5000 0.5000 0.5000
Pm: 0.0000 0.0000 0.0000

- formation energy from the elements (eV per atom) = -0.360
- symmetry = R-3m (166)
- ρ (g/cm3) = 10.3
- final energy (eV per atom) = -5.258

No. 2
Density functional theory data (PBE) for a relaxed PmNiAu11 crystal.

Cell lengths 5.5121, 7.1890, 7.3635 Å; angles 81.59, 68.02, 67.00 degrees
Fractional positions:
Pm: 0.0000 0.0000 0.0000
Ni: 0.5000 0.5000 0.0000
Au: 0.2998 0.2160 0.2077
Au: 0.7002 0.7840 0.7923
Au: 0.4924 0.7840 0.2077
Au: 0.5076 0.2160 0.7923
Au: 0.3605 0.6448 0.6665
Au: 0.6395 0.3552 0.3335
Au: 0.9731 0.3552 0.6665
Au: 0.0269 0.6448 0.3335
Au: 0.0000 0.5000 0.0000
Au: 0.5000 0.0000 0.5000
Au: 0.0000 0.0000 0.5000

- formation energy from the elements (eV per atom) = -0.184
- symmetry = C2/m (12)
- ρ (g/cm3) = 15.8
- final energy (eV per atom) = -3.768

No. 3
Density functional theory data (PBE) for a relaxed Pm3NiAu3 crystal.

Cell lengths 4.6041, 3.8579, 9.9551 Å; angles 101.17, 103.37, 90.00 degrees
Fractional positions:
Pm: 0.3219 0.8219 0.6437
Pm: 0.6854 0.1854 0.3708
Pm: 0.9943 0.9943 0.9886
Ni: 0.4277 0.4277 0.8554
Au: 0.1545 0.6545 0.3090
Au: 0.8565 0.3565 0.7131
Au: 0.5597 0.5597 0.1195

- formation energy from the elements (eV per atom) = -0.694
- symmetry = Imm2 (44)
- ρ (g/cm3) = 10.7
- final energy (eV per atom) = -4.960

No. 4
Density functional theory data (PBE) for a relaxed PmNiAu crystal.

Cell lengths 3.7291, 4.4217, 4.4217 Å; angles 120.00, 90.00, 90.00 degrees
Fractional positions:
Ni: 0.1669 0.0000 0.0000
Au: 0.1665 0.3333 0.6667
Pm: 0.6666 0.6667 0.3333

- formation energy from the elements (eV per atom) = -0.520
- symmetry = P-6m2 (187)
- ρ (g/cm3) = 10.5
- final energy (eV per atom) = -5.124

No. 5
Density functional theory data (PBE) for a relaxed Pm2NiAu3 crystal.

Cell lengths 3.6942, 4.3331, 8.4135 Å; angles 90.00, 90.00, 90.00 degrees
Fractional positions:
Pm: 0.0000 0.5000 0.0159
Pm: 0.0000 0.0000 0.4823
Ni: 0.5000 0.5000 0.3382
Au: 0.5000 0.0000 0.8454
Au: 0.5000 0.0000 0.1768
Au: 0.5000 0.5000 0.6413

- formation energy from the elements (eV per atom) = -0.638
- symmetry = Pmm2 (25)
- ρ (g/cm3) = 11.6
- final energy (eV per atom) = -4.824

No. 6
Density functional theory data (PBE) for a relaxed Pm4Ni2Au5 crystal.

Cell lengths 3.9078, 7.3340, 8.6439 Å; angles 92.91, 90.00, 90.00 degrees
Fractional positions:
Pm: 0.5000 0.7574 0.5932
Pm: 0.5000 0.2029 0.8561
Pm: 0.5000 0.2426 0.4068
Pm: 0.5000 0.7971 0.1439
Ni: 0.0000 0.0651 0.6267
Ni: 0.0000 0.9349 0.3733
Au: 0.0000 0.5701 0.3417
Au: 0.0000 0.1439 0.1344
Au: 0.0000 0.5000 0.0000
Au: 0.0000 0.8561 0.8656
Au: 0.0000 0.4299 0.6583

- formation energy from the elements (eV per atom) = -0.664
- symmetry = P2/m (10)
- ρ (g/cm3) = 11.3
- final energy (eV per atom) = -4.932

No. 7
Density functional theory data (PBE) for a relaxed Pm3Ni2Au4 crystal.

Cell lengths 4.1915, 5.9432, 8.7778 Å; angles 75.71, 76.19, 69.35 degrees
Fractional positions:
Pm: 0.3154 0.7349 0.6343
Pm: 0.0000 0.0000 0.0000
Pm: 0.6846 0.2651 0.3657
Ni: 0.3976 0.9418 0.2629
Ni: 0.6024 0.0582 0.7371
Au: 0.2672 0.3742 0.0914
Au: 0.7328 0.6258 0.9086
Au: 0.0258 0.3088 0.6397
Au: 0.9742 0.6912 0.3603

- formation energy from the elements (eV per atom) = -0.612
- symmetry = C2/m (12)
- ρ (g/cm3) = 11.4
- final energy (eV per atom) = -4.937

No. 8
Density functional theory data (PBE) for a relaxed Pm2Ni4Sb3Au crystal.

Cell lengths 4.3936, 4.3936, 10.0759 Å; angles 90.00, 90.00, 90.00 degrees
Fractional positions:
Pm: 0.5000 0.0000 0.2435
Pm: 0.0000 0.5000 0.7565
Ni: 0.5000 0.5000 0.0000
Ni: 0.0000 0.0000 0.0000
Ni: 0.5000 0.0000 0.6262
Ni: 0.0000 0.5000 0.3738
Sb: 0.0000 0.0000 0.5000
Sb: 0.5000 0.0000 0.8702
Sb: 0.0000 0.5000 0.1298
Au: 0.5000 0.5000 0.5000

- E_form (uncorrected) (eV/atom) = -0.612
- symmetry = P-4m2 (115)
- ρ (g/cm3) = 9.3
- final energy (eV per atom) = -5.439

What is the formula in the seventh record? Pm3Ni2Au4

Please write out number 6 again, unchanged.
Density functional theory data (PBE) for a relaxed Pm4Ni2Au5 crystal.

Cell lengths 3.9078, 7.3340, 8.6439 Å; angles 92.91, 90.00, 90.00 degrees
Fractional positions:
Pm: 0.5000 0.7574 0.5932
Pm: 0.5000 0.2029 0.8561
Pm: 0.5000 0.2426 0.4068
Pm: 0.5000 0.7971 0.1439
Ni: 0.0000 0.0651 0.6267
Ni: 0.0000 0.9349 0.3733
Au: 0.0000 0.5701 0.3417
Au: 0.0000 0.1439 0.1344
Au: 0.0000 0.5000 0.0000
Au: 0.0000 0.8561 0.8656
Au: 0.0000 0.4299 0.6583

- formation energy from the elements (eV per atom) = -0.664
- symmetry = P2/m (10)
- ρ (g/cm3) = 11.3
- final energy (eV per atom) = -4.932

Among the records above, which one has the highest final energy? PmNiAu11